# 1
Computed, not measured: a PBEsol-optimized structure of NiAs3Os at the SCAN level of DFT.

Its crystal system is cubic. The value obtained for the density is 7.49 g/cm³. The calculation puts the calculated volume at 21.0 Å³ per atom.

It has space group Pm-3m (No. 221), with a = 4.717 Å, b = 4.717 Å, c = 4.717 Å, α = 90.00°, β = 90.00° and γ = 90.00°. The inequivalent atoms are Ni at (0.000, 0.000, 0.000), As at (0.000, 0.500, 0.500) and Os at (0.500, 0.500, 0.500).

# 2
Computed, not measured: a PBEsol-optimized structure of NiAs2Os at the SCAN level of DFT.

Its crystal system is cubic. The value obtained for the density is 11.55 g/cm³. The calculation puts the calculated volume at 14.3 Å³ per atom.

It has space group F-43m (No. 216), with a = 6.120 Å, b = 6.120 Å, c = 6.120 Å, α = 90.00°, β = 90.00° and γ = 90.00°. The inequivalent atoms are Ni at (0.000, 0.000, 0.000), As at (0.000, 0.000, 0.500), As at (0.250, 0.250, 0.750) and Os at (0.250, 0.250, 0.250).

# 3
Computed, not measured: a PBEsol-optimized structure of NiAsOs2 at the SCAN level of DFT.

Its crystal system is orthorhombic. The value obtained for the density is 15.27 g/cm³. The calculation puts the calculated volume at 14.0 Å³ per atom.

It has space group Immm (No. 71), with a = 2.831 Å, b = 3.967 Å, c = 9.956 Å, α = 90.00°, β = 90.00° and γ = 90.00°. The inequivalent atoms are Ni at (0.000, 0.000, 0.000), As at (0.000, 0.000, 0.500) and Os at (0.000, 0.500, 0.201).

# 4
Computed, not measured: a PBEsol-optimized structure of NiAsOs2 at the SCAN level of DFT.

Its crystal system is orthorhombic. The value obtained for the density is 15.65 g/cm³. The calculation puts the calculated volume at 13.6 Å³ per atom.

It has space group Amm2 (No. 38), with a = 3.788 Å, b = 2.787 Å, c = 10.333 Å, α = 90.00°, β = 90.00° and γ = 90.00°. The inequivalent atoms are Ni at (0.000, 0.000, 0.000), As at (0.500, 0.000, 0.410), Os at (0.000, 0.000, 0.254) and Os at (0.500, 0.000, 0.641).

# 5
Computed, not measured: a PBEsol-optimized structure of NiAs2Os at the SCAN level of DFT.

Its crystal system is tetragonal. The value obtained for the density is 11.88 g/cm³. The calculation puts the calculated volume at 13.9 Å³ per atom.

It has space group P4/mmm (No. 123), with a = 4.292 Å, b = 4.292 Å, c = 3.025 Å, α = 90.00°, β = 90.00° and γ = 90.00°. The inequivalent atoms are Ni at (0.000, 0.000, 0.000), As at (0.000, 0.500, 0.500) and Os at (0.500, 0.500, 0.000).

# 6
Computed, not measured: a PBEsol-optimized structure of NiAs2Os at the SCAN level of DFT.

Its crystal system is monoclinic. The value obtained for the density is 11.33 g/cm³. The calculation puts the calculated volume at 14.6 Å³ per atom.

It has space group C2/m (No. 12), with a = 5.578 Å, b = 8.052 Å, c = 3.027 Å, α = 90.00°, β = 120.70° and γ = 90.00°. The inequivalent atoms are Ni at (0.000, 0.000, 0.000), As at (0.250, 0.250, 0.500) and Os at (0.000, 0.500, 0.000).

# 7
Computed, not measured: a PBEsol-optimized structure of TlNiAs2Os at the SCAN level of DFT.

Its crystal system is tetragonal. The value obtained for the density is 10.71 g/cm³. The calculation puts the calculated volume at 18.7 Å³ per atom.

It has space group P4/mmm (No. 123), with a = 4.356 Å, b = 4.356 Å, c = 4.929 Å, α = 90.00°, β = 90.00° and γ = 90.00°. The inequivalent atoms are Tl at (0.000, 0.000, 0.000), Ni at (0.000, 0.000, 0.500), As at (0.000, 0.500, 0.500) and Os at (0.500, 0.500, 0.000).

# 8
Computed, not measured: a PBEsol-optimized structure of Ni2AsP at the SCAN level of DFT.

Its crystal system is monoclinic. The value obtained for the density is 7.42 g/cm³. The calculation puts the calculated volume at 12.5 Å³ per atom.

It has space group P2/m (No. 10), with a = 2.812 Å, b = 2.812 Å, c = 6.316 Å, α = 90.00°, β = 90.07° and γ = 90.00°. The inequivalent atoms are Ni at (0.000, 0.000, 0.206), As at (0.500, 0.500, 0.500) and P at (0.500, 0.500, 0.000).

no.,E_form (eV per formula unit)
1,5.483
2,2.696
3,1.264
4,0.871
5,1.277
6,2.186
7,5.991
8,-0.066